(1)
{"formula": "VReN", "functional": "GGA-PBE", "state": "relaxed", "magmom_total_mub_per_atom": 0.000, "de_polymorph_mev_per_atom": 502, "raw_formation_energy_ev_per_fu": -0.56, "lattice_angstrom": [[2.819, 0.000, 0.000], [-1.410, 2.442, 0.000], [0.000, 0.000, 4.887]], "species": ["V", "Re", "N"], "frac_coords": [[0.000, 0.000, 0.000], [0.667, 0.333, 0.537], [0.333, 0.667, 0.254]]}



(2)
{"formula": "Tc3BiAs", "functional": "GGA-PBE", "state": "relaxed", "magmom_total_mub_per_atom": 1.397, "delta_e_f_ev_per_atom": 2.37, "de_polymorph_mev_per_atom": 1426, "lattice_angstrom": [[5.076, 0.000, 0.000], [0.000, 5.076, 0.000], [0.000, 0.000, 5.076]], "species": ["Tc", "Tc", "Tc", "Bi", "As"], "frac_coords": [[0.000, 0.000, 0.500], [0.000, 0.500, 0.000], [0.500, 0.000, 0.000], [0.000, 0.000, 0.000], [0.500, 0.500, 0.500]]}



(3)
{"formula": "Pm2Ni3P4Rh", "functional": "GGA-PBE", "state": "relaxed", "magmom_total_mub_per_atom": 0.000, "delta_e_f_ev_per_atom": -1.01, "lattice_angstrom": [[4.064, 0.000, 0.000], [0.000, 4.064, 0.000], [0.000, 0.000, 9.291]], "species": ["Pm", "Pm", "Ni", "Ni", "Ni", "P", "P", "P", "P", "Rh"], "frac_coords": [[0.000, 0.500, 0.241], [0.500, 0.000, 0.759], [0.000, 0.500, 0.887], [0.500, 0.000, 0.113], [0.500, 0.500, 0.500], [0.000, 0.000, 0.000], [0.000, 0.500, 0.637], [0.500, 0.000, 0.363], [0.500, 0.500, 0.000], [0.000, 0.000, 0.500]]}



(4)
{"formula": "GdPuMgAl", "functional": "GGA-PBE", "state": "relaxed", "magmom_total_mub_per_atom": 3.332, "delta_e_f_ev_per_atom": -0.08, "lattice_angstrom": [[0.000, 3.700, 3.700], [3.700, 0.000, 3.700], [3.700, 3.700, 0.000]], "species": ["Gd", "Pu", "Mg", "Al"], "frac_coords": [[0.000, 0.000, 0.000], [0.500, 0.500, 0.500], [0.250, 0.250, 0.250], [0.750, 0.750, 0.750]]}



(5)
{"formula": "Ti2Pt2W", "functional": "GGA-PBE", "state": "relaxed", "magmom_total_mub_per_atom": 0.000, "delta_e_f_ev_per_atom": -0.46, "lattice_angstrom": [[7.473, 0.000, 0.000], [0.000, 7.473, 0.000], [0.000, 0.000, 2.897]], "species": ["Ti", "Ti", "Ti", "Ti", "Pt", "Pt", "Pt", "Pt", "W", "W"], "frac_coords": [[0.170, 0.330, 0.000], [0.330, 0.830, 0.000], [0.670, 0.170, 0.000], [0.830, 0.670, 0.000], [0.131, 0.631, 0.500], [0.369, 0.131, 0.500], [0.631, 0.869, 0.500], [0.869, 0.369, 0.500], [0.000, 0.000, 0.500], [0.500, 0.500, 0.500]]}



(6)
{"formula": "ZrTaNi2Au", "functional": "GGA-PBE", "state": "relaxed", "magmom_total_mub_per_atom": 0.000, "delta_e_f_ev_per_atom": 0.82, "lattice_angstrom": [[4.486, 0.000, 0.000], [0.000, 4.486, 0.000], [0.000, 0.000, 5.038]], "species": ["Zr", "Ta", "Ni", "Ni", "Au"], "frac_coords": [[0.000, 0.000, 0.000], [0.500, 0.500, 0.500], [0.000, 0.500, 0.500], [0.500, 0.000, 0.500], [0.500, 0.500, 0.000]]}



(7)
{"formula": "Rb3Ce3SnSe8", "functional": "GGA-PBE", "state": "relaxed", "magmom_total_mub_per_atom": 0.072, "raw_formation_energy_ev_per_fu": -21.81, "lattice_angstrom": [[4.340, 2.506, 7.981], [-4.340, 2.506, 7.981], [0.000, -5.011, 7.981]], "species": ["Rb", "Rb", "Rb", "Ce", "Ce", "Ce", "Sn", "Se", "Se", "Se", "Se", "Se", "Se", "Se", "Se"], "frac_coords": [[0.000, 0.500, 0.500], [0.500, 0.000, 0.500], [0.500, 0.500, 0.000], [0.000, 0.000, 0.500], [0.000, 0.500, 0.000], [0.500, 0.000, 0.000], [0.500, 0.500, 0.500], [0.219, 0.736, 0.736], [0.233, 0.233, 0.233], [0.264, 0.264, 0.781], [0.264, 0.781, 0.264], [0.736, 0.219, 0.736], [0.736, 0.736, 0.219], [0.767, 0.767, 0.767], [0.781, 0.264, 0.264]]}



(8)
{"formula": "TmZrPa2", "functional": "GGA-PBE", "state": "relaxed", "magmom_total_mub_per_atom": 0.000, "delta_e_f_ev_per_atom": 0.18, "de_polymorph_mev_per_atom": 59, "lattice_angstrom": [[4.491, 0.000, 0.000], [0.000, 4.491, 0.000], [0.000, 0.000, 5.042]], "species": ["Tm", "Zr", "Pa", "Pa"], "frac_coords": [[0.000, 0.000, 0.000], [0.500, 0.500, 0.000], [0.000, 0.500, 0.500], [0.500, 0.000, 0.500]]}



(9)
{"formula": "ZnTeSe", "functional": "GGA-PBE", "state": "relaxed", "magmom_total_mub_per_atom": 0.000, "de_polymorph_mev_per_atom": 55, "raw_formation_energy_ev_per_fu": -0.87, "lattice_angstrom": [[4.873, 0.000, 0.000], [0.000, 6.946, 0.000], [-2.073, 0.000, 5.193]], "species": ["Zn", "Zn", "Te", "Te", "Se", "Se"], "frac_coords": [[0.000, 0.250, 0.000], [0.000, 0.750, 0.000], [0.188, 0.000, 0.724], [0.448, 0.500, 0.229], [0.601, 0.500, 0.820], [0.825, 0.000, 0.237]]}



(10)
{"formula": "RbSiRhCl2", "functional": "GGA-PBE", "state": "relaxed", "magmom_total_mub_per_atom": 0.684, "raw_formation_energy_ev_per_fu": 5.75, "lattice_angstrom": [[5.843, 0.000, 0.000], [0.000, 5.843, 0.000], [0.000, 0.000, 6.020]], "species": ["Rb", "Si", "Rh", "Cl", "Cl"], "frac_coords": [[0.000, 0.000, 0.000], [0.000, 0.000, 0.500], [0.500, 0.500, 0.500], [0.000, 0.500, 0.000], [0.500, 0.000, 0.000]]}



(11)
{"formula": "InTcNi", "functional": "GGA-PBE", "state": "relaxed", "magmom_total_mub_per_atom": 0.000, "delta_e_f_ev_per_atom": 0.08, "de_polymorph_mev_per_atom": 46, "lattice_angstrom": [[2.925, 0.000, 0.000], [0.000, 3.970, 0.000], [-1.379, 0.000, 7.906]], "species": ["In", "In", "Tc", "Tc", "Ni", "Ni"], "frac_coords": [[0.094, 0.250, 0.211], [0.906, 0.750, 0.789], [0.309, 0.250, 0.571], [0.691, 0.750, 0.429], [0.461, 0.250, 0.904], [0.539, 0.750, 0.096]]}



(12)
{"formula": "ZrCrCuN2", "functional": "GGA-PBE", "state": "relaxed", "magmom_total_mub_per_atom": 0.620, "raw_formation_energy_ev_per_fu": 6.61, "lattice_angstrom": [[3.870, 0.000, 0.000], [0.000, 3.870, 0.000], [0.000, 0.000, 4.356]], "species": ["Zr", "Cr", "Cu", "N", "N"], "frac_coords": [[0.000, 0.000, 0.000], [0.500, 0.500, 0.000], [0.500, 0.500, 0.500], [0.000, 0.500, 0.500], [0.500, 0.000, 0.500]]}



(13)
{"formula": "Zn2ReSi", "functional": "GGA-PBE", "state": "relaxed", "magmom_total_mub_per_atom": 0.000, "raw_formation_energy_ev_per_fu": 1.20, "lattice_angstrom": [[1.364, 0.788, 9.388], [-1.364, 0.788, 9.388], [0.000, -1.575, 9.388]], "species": ["Zn", "Zn", "Re", "Si"], "frac_coords": [[0.247, 0.247, 0.247], [0.753, 0.753, 0.753], [0.500, 0.500, 0.500], [0.000, 0.000, 0.000]]}



(14)
{"formula": "In2FeCoPt", "functional": "GGA-PBE", "state": "relaxed", "magmom_total_mub_per_atom": 0.932, "delta_e_f_ev_per_atom": 0.77, "lattice_angstrom": [[4.787, 0.000, 0.000], [0.000, 4.787, 0.000], [0.000, 0.000, 4.649]], "species": ["In", "In", "Fe", "Co", "Pt"], "frac_coords": [[0.000, 0.500, 0.000], [0.500, 0.000, 0.000], [0.000, 0.000, 0.500], [0.500, 0.500, 0.000], [0.500, 0.500, 0.500]]}



(15)
{"formula": "LiErF2", "functional": "GGA-PBE", "state": "relaxed", "magmom_total_mub_per_atom": 0.000, "raw_formation_energy_ev_per_fu": -9.39, "lattice_angstrom": [[-3.379, 3.379, 6.179], [3.379, -3.379, 6.179], [3.379, 3.379, -6.179]], "species": ["Li", "Li", "Li", "Li", "Er", "Er", "Er", "Er", "F", "F", "F", "F", "F", "F", "F", "F"], "frac_coords": [[0.000, 0.000, 0.000], [0.000, 0.000, 0.500], [0.000, 0.500, 0.000], [0.500, 0.000, 0.500], [0.000, 0.500, 0.500], [0.500, 0.000, 0.000], [0.500, 0.500, 0.000], [0.500, 0.500, 0.500], [0.229, 0.688, 0.541], [0.312, 0.352, 0.541], [0.312, 0.771, 0.959], [0.352, 0.312, 0.041], [0.648, 0.688, 0.959], [0.688, 0.229, 0.041], [0.688, 0.648, 0.459], [0.771, 0.312, 0.459]]}



(16)
{"formula": "BeNi2Os", "functional": "GGA-PBE", "state": "relaxed", "magmom_total_mub_per_atom": 0.000, "delta_e_f_ev_per_atom": 0.01, "lattice_angstrom": [[1.299, 0.750, 7.789], [-1.299, 0.750, 7.789], [0.000, -1.500, 7.789]], "species": ["Be", "Ni", "Ni", "Os"], "frac_coords": [[0.000, 0.000, 0.000], [0.258, 0.258, 0.258], [0.742, 0.742, 0.742], [0.500, 0.500, 0.500]]}



(17)
{"formula": "TbSmHo4Tm2", "functional": "GGA-PBE", "state": "relaxed", "magmom_total_mub_per_atom": 0.430, "delta_e_f_ev_per_atom": 0.45, "lattice_angstrom": [[-3.373, 5.847, 6.615], [3.373, -5.847, 6.615], [3.373, 5.847, -6.615]], "species": ["Tb", "Tb", "Sm", "Sm", "Ho", "Ho", "Ho", "Ho", "Ho", "Ho", "Ho", "Ho", "Tm", "Tm", "Tm", "Tm"], "frac_coords": [[0.500, 0.000, 0.000], [0.500, 0.500, 0.500], [0.000, 0.000, 0.000], [0.500, 0.000, 0.500], [0.245, 0.747, 0.498], [0.248, 0.249, 0.502], [0.248, 0.746, 0.998], [0.251, 0.253, 0.998], [0.749, 0.747, 0.002], [0.752, 0.254, 0.002], [0.752, 0.751, 0.498], [0.755, 0.253, 0.502], [0.000, 0.000, 0.500], [0.000, 0.500, 0.000], [0.000, 0.500, 0.500], [0.500, 0.500, 0.000]]}



(18)
{"formula": "HfVBiSe2", "functional": "GGA-PBE", "state": "relaxed", "magmom_total_mub_per_atom": 0.601, "raw_formation_energy_ev_per_fu": 1.98, "lattice_angstrom": [[5.088, 0.000, 0.000], [0.000, 5.088, 0.000], [0.000, 0.000, 5.327]], "species": ["Hf", "V", "Bi", "Se", "Se"], "frac_coords": [[0.000, 0.000, 0.000], [0.000, 0.000, 0.500], [0.500, 0.500, 0.500], [0.000, 0.500, 0.000], [0.500, 0.000, 0.000]]}



(19)
{"formula": "TaHgRu", "functional": "GGA-PBE", "state": "relaxed", "magmom_total_mub_per_atom": 0.000, "delta_e_f_ev_per_atom": 0.71, "de_polymorph_mev_per_atom": 608, "lattice_angstrom": [[0.000, 3.137, 3.137], [3.137, 0.000, 3.137], [3.137, 3.137, 0.000]], "species": ["Ta", "Hg", "Ru"], "frac_coords": [[0.000, 0.000, 0.000], [0.750, 0.750, 0.750], [0.250, 0.250, 0.250]]}



(20)
{"formula": "La7Nd2Er", "functional": "GGA-PBE", "state": "relaxed", "magmom_total_mub_per_atom": 0.000, "delta_e_f_ev_per_atom": 0.13, "de_polymorph_mev_per_atom": 0, "lattice_angstrom": [[9.035, 0.000, 0.000], [0.000, 3.531, 0.000], [-4.406, 0.000, 11.190]], "species": ["La", "La", "La", "La", "La", "La", "La", "Nd", "Nd", "Er"], "frac_coords": [[0.000, 0.000, 0.000], [0.190, 0.000, 0.307], [0.222, 0.000, 0.808], [0.392, 0.500, 0.112], [0.608, 0.500, 0.888], [0.778, 0.000, 0.192], [0.810, 0.000, 0.693], [0.396, 0.000, 0.602], [0.604, 0.000, 0.398], [0.000, 0.500, 0.500]]}



(21)
{"formula": "Cs9Rb6Au", "functional": "GGA-PBE", "state": "relaxed", "magmom_total_mub_per_atom": 0.000, "delta_e_f_ev_per_atom": -0.03, "lattice_angstrom": [[-6.026, 6.026, 10.656], [6.026, -6.026, 10.656], [6.026, 6.026, -10.656]], "species": ["Cs", "Cs", "Cs", "Cs", "Cs", "Cs", "Cs", "Cs", "Cs", "Rb", "Rb", "Rb", "Rb", "Rb", "Rb", "Au"], "frac_coords": [[0.000, 0.000, 0.000], [0.056, 0.465, 0.200], [0.144, 0.944, 0.408], [0.265, 0.856, 0.800], [0.465, 0.265, 0.408], [0.535, 0.735, 0.592], [0.735, 0.144, 0.200], [0.856, 0.056, 0.592], [0.944, 0.535, 0.800], [0.224, 0.409, 0.633], [0.336, 0.336, 0.000], [0.409, 0.776, 0.185], [0.591, 0.224, 0.815], [0.664, 0.664, 0.000], [0.776, 0.591, 0.367], [0.500, 0.500, 0.000]]}



(22)
{"formula": "Na5HoHg6", "functional": "GGA-PBE", "state": "relaxed", "magmom_total_mub_per_atom": 0.000, "delta_e_f_ev_per_atom": -0.26, "lattice_angstrom": [[5.278, 0.000, 0.000], [0.000, 7.407, 0.000], [-2.627, 0.000, 7.875]], "species": ["Na", "Na", "Na", "Na", "Na", "Ho", "Hg", "Hg", "Hg", "Hg", "Hg", "Hg"], "frac_coords": [[0.000, 0.000, 0.000], [0.326, 0.500, 0.652], [0.333, 0.000, 0.666], [0.667, 0.000, 0.334], [0.674, 0.500, 0.348], [0.000, 0.500, 0.000], [0.159, 0.247, 0.319], [0.159, 0.753, 0.319], [0.500, 0.270, 0.000], [0.500, 0.730, 0.000], [0.841, 0.247, 0.681], [0.841, 0.753, 0.681]]}



(23)
{"formula": "NaTlS2", "functional": "GGA-PBE", "state": "relaxed", "magmom_total_mub_per_atom": 0.000, "raw_formation_energy_ev_per_fu": -2.02, "lattice_angstrom": [[5.640, 0.000, 0.000], [-0.310, 6.168, 0.000], [-0.857, -2.171, 6.269]], "species": ["Na", "Na", "Tl", "Tl", "S", "S", "S", "S"], "frac_coords": [[0.182, 0.257, 0.490], [0.818, 0.743, 0.510], [0.291, 0.722, 0.054], [0.709, 0.278, 0.946], [0.223, 0.026, 0.794], [0.334, 0.731, 0.576], [0.666, 0.269, 0.424], [0.777, 0.974, 0.206]]}



(24)
{"formula": "YCd2Ag", "functional": "GGA-PBE", "state": "relaxed", "magmom_total_mub_per_atom": 0.000, "delta_e_f_ev_per_atom": -0.19, "lattice_angstrom": [[3.595, 0.000, 0.000], [0.000, 3.595, 0.000], [0.000, 0.000, 7.116]], "species": ["Y", "Cd", "Cd", "Ag"], "frac_coords": [[0.000, 0.000, 0.000], [0.000, 0.000, 0.475], [0.500, 0.500, 0.721], [0.500, 0.500, 0.252]]}



(25)
{"formula": "GdPaH", "functional": "GGA-PBE", "state": "relaxed", "magmom_total_mub_per_atom": 2.529, "total_energy_ry_per_atom": -0.6698, "lattice_angstrom": [[1.725, 0.996, 11.544], [-1.725, 0.996, 11.544], [0.000, -1.992, 11.544]], "species": ["Gd", "Gd", "Pa", "Pa", "H", "H"], "frac_coords": [[0.119, 0.119, 0.119], [0.881, 0.881, 0.881], [0.371, 0.371, 0.371], [0.629, 0.629, 0.629], [0.185, 0.185, 0.185], [0.815, 0.815, 0.815]]}